## Rb2MnSF6 (GGA+U)

Data for an optimized crystal structure of Rb2MnSF6.

## Properties
DFT total energy: -46.74 eV/cell

Unit cell a=6.771 b=6.771 c=6.771 alpha=129.24 beta=129.24 gamma=74.63
Sites, in units of the cell vectors:
1 Rb 0.250 0.750 0.500
2 Rb 0.750 0.250 0.500
3 Mn 0.000 0.000 0.000
4 S 0.500 0.500 0.000
5 F 0.188 0.188 0.000
6 F 0.265 0.265 0.530
7 F 0.265 0.735 0.000
8 F 0.735 0.265 0.000
9 F 0.735 0.735 0.470
10 F 0.812 0.812 0.000